Below is a relaxed TaNb3Tc3 crystal, with properties calculated at the PBE level.

Cell and atoms, written as CIF:
```
data_TaNb3Tc3
_space_group_name_H-M_alt 'P 1'
_space_group_IT_number 1
_space_group_name_Hall 'P 1'
_cell_length_a 6.290
_cell_length_b 6.290
_cell_length_c 6.249
_cell_angle_alpha 90.00
_cell_angle_beta 90.00
_cell_angle_gamma 89.88
loop_
_atom_site_label
_atom_site_fract_x
_atom_site_fract_y
_atom_site_fract_z
_atom_site_occupancy
Tc1 0.000 0.500 0.249 1
Tc2 0.000 0.000 0.250 1
Tc3 0.500 0.000 0.249 1
Tc4 0.000 0.000 0.750 1
Tc5 0.000 0.500 0.751 1
Tc6 0.500 0.000 0.751 1
Ta1 0.756 0.756 0.000 1
Ta2 0.244 0.244 0.000 1
Nb1 0.269 0.269 0.500 1
Nb2 0.271 0.729 0.000 1
Nb3 0.729 0.271 0.000 1
Nb4 0.731 0.731 0.500 1
Nb5 0.248 0.752 0.500 1
Nb6 0.752 0.248 0.500 1
```

---

Below is a relaxed LaZrTl2Os crystal, with properties calculated at the PBE level.

Cell and atoms, written as CIF:
```
data_LaZrTl2Os
_space_group_name_H-M_alt 'P 1'
_space_group_IT_number 1
_space_group_name_Hall 'P 1'
_cell_length_a 5.539
_cell_length_b 4.872
_cell_length_c 5.539
_cell_angle_alpha 90.00
_cell_angle_beta 90.00
_cell_angle_gamma 90.00
loop_
_atom_site_label
_atom_site_fract_x
_atom_site_fract_y
_atom_site_fract_z
_atom_site_occupancy
Tl1 0.000 0.000 0.500 1
Tl2 0.500 0.000 0.000 1
Os1 0.000 0.500 0.000 1
Zr1 0.000 0.000 0.000 1
La1 0.500 0.500 0.500 1
```

---

# URuC PBE optimized geometry
data_URuC
_space_group_name_H-M_alt 'P 1'
_space_group_IT_number 1
_space_group_name_Hall 'P 1'
_cell_length_a 4.871
_cell_length_b 5.965
_cell_length_c 5.965
_cell_angle_alpha 90.00
_cell_angle_beta 90.00
_cell_angle_gamma 90.00
loop_
_atom_site_label
_atom_site_fract_x
_atom_site_fract_y
_atom_site_fract_z
_atom_site_occupancy
Ru1 0.500 0.000 0.779 1
Ru2 0.500 0.000 0.221 1
Ru3 0.000 0.779 0.000 1
Ru4 0.000 0.221 0.000 1
U1 0.500 0.500 0.214 1
U2 0.500 0.500 0.786 1
U3 0.000 0.786 0.500 1
U4 0.000 0.214 0.500 1
C1 0.000 0.500 0.228 1
C2 0.000 0.500 0.772 1
C3 0.500 0.772 0.500 1
C4 0.500 0.228 0.500 1
# - Polymorph energy (0 for the lowest one): 0 meV/atom

---

Below is a relaxed CePOs2C crystal, with properties calculated at the PBE level.

Cell and atoms, written as CIF:
```
data_CePOs2C
_space_group_name_H-M_alt 'P 1'
_space_group_IT_number 1
_space_group_name_Hall 'P 1'
_cell_length_a 5.897
_cell_length_b 5.897
_cell_length_c 7.085
_cell_angle_alpha 90.00
_cell_angle_beta 90.00
_cell_angle_gamma 141.45
loop_
_atom_site_label
_atom_site_fract_x
_atom_site_fract_y
_atom_site_fract_z
_atom_site_occupancy
C1 0.000 0.000 0.500 1
C2 0.000 0.000 0.000 1
P1 0.272 0.728 0.750 1
P2 0.728 0.272 0.250 1
Os1 0.167 0.833 0.054 1
Os2 0.167 0.833 0.446 1
Os3 0.833 0.167 0.946 1
Os4 0.833 0.167 0.554 1
Ce1 0.451 0.549 0.250 1
Ce2 0.549 0.451 0.750 1
```

---

Below is a relaxed Nd6ZnTc2Cl3 crystal, with properties calculated at the PBE level.

Cell and atoms, written as CIF:
```
data_Nd6ZnTc2Cl3
_space_group_name_H-M_alt 'P 1'
_space_group_IT_number 1
_space_group_name_Hall 'P 1'
_cell_length_a 7.007
_cell_length_b 7.007
_cell_length_c 8.277
_cell_angle_alpha 97.88
_cell_angle_beta 97.88
_cell_angle_gamma 122.40
loop_
_atom_site_label
_atom_site_fract_x
_atom_site_fract_y
_atom_site_fract_z
_atom_site_occupancy
Nd1 0.416 0.068 0.228 1
Nd2 0.584 0.932 0.772 1
Nd3 0.068 0.416 0.228 1
Nd4 0.696 0.696 0.199 1
Nd5 0.932 0.584 0.772 1
Nd6 0.304 0.304 0.801 1
Tc1 0.320 0.680 0.000 1
Tc2 0.680 0.320 0.000 1
Cl1 0.500 0.500 0.500 1
Cl2 0.827 0.173 0.500 1
Cl3 0.173 0.827 0.500 1
Zn1 0.000 0.000 0.000 1
```

---

# SiAg2Pb PBE optimized geometry
data_SiAg2Pb
_space_group_name_H-M_alt 'P 1'
_space_group_IT_number 1
_space_group_name_Hall 'P 1'
_cell_length_a 3.289
_cell_length_b 3.289
_cell_length_c 7.730
_cell_angle_alpha 90.00
_cell_angle_beta 90.00
_cell_angle_gamma 90.03
loop_
_atom_site_label
_atom_site_fract_x
_atom_site_fract_y
_atom_site_fract_z
_atom_site_occupancy
Ag1 0.000 0.000 0.984 1
Ag2 0.500 0.500 0.211 1
Si1 0.500 0.500 0.805 1
Pb1 0.000 0.000 0.501 1
# - Polymorph energy (0 for the lowest one): 16 meV/atom

---

# RbYCr2 PBE optimized geometry
data_RbYCr2
_space_group_name_H-M_alt 'P 1'
_space_group_IT_number 1
_space_group_name_Hall 'P 1'
_cell_length_a 5.719
_cell_length_b 5.719
_cell_length_c 11.052
_cell_angle_alpha 75.00
_cell_angle_beta 75.00
_cell_angle_gamma 90.00
loop_
_atom_site_label
_atom_site_fract_x
_atom_site_fract_y
_atom_site_fract_z
_atom_site_occupancy
Y1 0.750 0.250 0.500 1
Y2 0.000 0.000 0.000 1
Cr1 0.375 0.125 0.750 1
Cr2 0.875 0.125 0.250 1
Cr3 0.875 0.125 0.750 1
Cr4 0.875 0.625 0.250 1
Rb1 0.500 0.500 0.000 1
Rb2 0.250 0.750 0.500 1
# - Polymorph energy (0 for the lowest one): 220 meV/atom

---

Below is a relaxed ReNi2Sn crystal, with properties calculated at the PBE level.

Cell and atoms, written as CIF:
```
data_ReNi2Sn
_space_group_name_H-M_alt 'P 1'
_space_group_IT_number 1
_space_group_name_Hall 'P 1'
_cell_length_a 3.888
_cell_length_b 3.888
_cell_length_c 9.015
_cell_angle_alpha 77.55
_cell_angle_beta 77.55
_cell_angle_gamma 90.00
loop_
_atom_site_label
_atom_site_fract_x
_atom_site_fract_y
_atom_site_fract_z
_atom_site_occupancy
Re1 0.000 0.000 0.000 1
Re2 0.750 0.250 0.500 1
Ni1 0.090 0.625 0.250 1
Ni2 0.375 0.340 0.750 1
Ni3 0.875 0.910 0.750 1
Ni4 0.660 0.125 0.250 1
Sn1 0.250 0.750 0.500 1
Sn2 0.500 0.500 0.000 1
```

---

Below is a relaxed NaZn2Ni crystal, with properties calculated at the PBE level.

Cell and atoms, written as CIF:
```
data_NaZn2Ni
_space_group_name_H-M_alt 'P 1'
_space_group_IT_number 1
_space_group_name_Hall 'P 1'
_cell_length_a 2.821
_cell_length_b 2.821
_cell_length_c 9.409
_cell_angle_alpha 81.38
_cell_angle_beta 81.38
_cell_angle_gamma 60.00
loop_
_atom_site_label
_atom_site_fract_x
_atom_site_fract_y
_atom_site_fract_z
_atom_site_occupancy
Zn1 0.265 0.265 0.206 1
Zn2 0.735 0.735 0.794 1
Na1 0.500 0.500 0.500 1
Ni1 0.000 0.000 0.000 1
```

---

Below is a relaxed Li4TaPb crystal, with properties calculated at the PBE level.

Cell and atoms, written as CIF:
```
data_Li4TaPb
_space_group_name_H-M_alt 'P 1'
_space_group_IT_number 1
_space_group_name_Hall 'P 1'
_cell_length_a 5.273
_cell_length_b 5.273
_cell_length_c 5.273
_cell_angle_alpha 60.00
_cell_angle_beta 60.00
_cell_angle_gamma 60.00
loop_
_atom_site_label
_atom_site_fract_x
_atom_site_fract_y
_atom_site_fract_z
_atom_site_occupancy
Li1 0.881 0.373 0.373 1
Li2 0.373 0.881 0.373 1
Li3 0.373 0.373 0.881 1
Li4 0.373 0.373 0.373 1
Ta1 0.000 0.000 0.000 1
Pb1 0.750 0.750 0.750 1
```

---

Below is a relaxed Zn2Ga2Cu7Au crystal, with properties calculated at the PBE level.

Cell and atoms, written as CIF:
```
data_Zn2Ga2Cu7Au
_space_group_name_H-M_alt 'P 1'
_space_group_IT_number 1
_space_group_name_Hall 'P 1'
_cell_length_a 3.807
_cell_length_b 3.807
_cell_length_c 12.813
_cell_angle_alpha 73.66
_cell_angle_beta 73.66
_cell_angle_gamma 92.44
loop_
_atom_site_label
_atom_site_fract_x
_atom_site_fract_y
_atom_site_fract_z
_atom_site_occupancy
Zn1 0.183 0.183 0.316 1
Zn2 0.817 0.817 0.684 1
Cu1 0.338 0.837 0.163 1
Cu2 0.749 0.749 0.500 1
Cu3 0.662 0.163 0.837 1
Cu4 0.500 0.500 0.000 1
Cu5 0.837 0.338 0.163 1
Cu6 0.163 0.662 0.837 1
Cu7 0.251 0.251 0.500 1
Ga1 0.683 0.683 0.317 1
Ga2 0.317 0.317 0.683 1
Au1 0.000 0.000 0.000 1
```

---

Below is a relaxed BOsO3 crystal, with properties calculated at the PBE level.

Cell and atoms, written as CIF:
```
data_BOsO3
_space_group_name_H-M_alt 'P 1'
_space_group_IT_number 1
_space_group_name_Hall 'P 1'
_cell_length_a 3.378
_cell_length_b 3.378
_cell_length_c 3.378
_cell_angle_alpha 90.00
_cell_angle_beta 90.00
_cell_angle_gamma 90.00
loop_
_atom_site_label
_atom_site_fract_x
_atom_site_fract_y
_atom_site_fract_z
_atom_site_occupancy
O1 0.000 0.500 0.000 1
O2 0.000 0.000 0.500 1
O3 0.500 0.000 0.000 1
Os1 0.500 0.500 0.500 1
B1 0.000 0.000 0.000 1
```

---

Below is a relaxed SrHf2O crystal, with properties calculated at the PBE level.

Cell and atoms, written as CIF:
```
data_SrHf2O
_space_group_name_H-M_alt 'P 1'
_space_group_IT_number 1
_space_group_name_Hall 'P 1'
_cell_length_a 6.704
_cell_length_b 6.704
_cell_length_c 6.691
_cell_angle_alpha 59.94
_cell_angle_beta 59.94
_cell_angle_gamma 90.00
loop_
_atom_site_label
_atom_site_fract_x
_atom_site_fract_y
_atom_site_fract_z
_atom_site_occupancy
Hf1 0.344 0.625 0.250 1
Hf2 0.375 0.594 0.750 1
Hf3 0.406 0.125 0.250 1
Hf4 0.875 0.656 0.750 1
Sr1 0.000 0.000 0.000 1
Sr2 0.750 0.250 0.500 1
O1 0.500 0.500 0.000 1
O2 0.250 0.750 0.500 1
```

---

Below is a relaxed Zr2TcAg crystal, with properties calculated at the PBE level.

Cell and atoms, written as CIF:
```
data_Zr2TcAg
_space_group_name_H-M_alt 'P 1'
_space_group_IT_number 1
_space_group_name_Hall 'P 1'
_cell_length_a 9.419
_cell_length_b 9.419
_cell_length_c 9.419
_cell_angle_alpha 19.35
_cell_angle_beta 19.35
_cell_angle_gamma 19.35
loop_
_atom_site_label
_atom_site_fract_x
_atom_site_fract_y
_atom_site_fract_z
_atom_site_occupancy
Zr1 0.248 0.248 0.248 1
Zr2 0.011 0.011 0.011 1
Tc1 0.746 0.746 0.746 1
Ag1 0.495 0.495 0.495 1
```

---

# Tb3Nd3Th2 PBE optimized geometry
data_Tb3Nd3Th2
_space_group_name_H-M_alt 'P 1'
_space_group_IT_number 1
_space_group_name_Hall 'P 1'
_cell_length_a 5.082
_cell_length_b 5.094
_cell_length_c 10.918
_cell_angle_alpha 103.48
_cell_angle_beta 103.46
_cell_angle_gamma 90.00
loop_
_atom_site_label
_atom_site_fract_x
_atom_site_fract_y
_atom_site_fract_z
_atom_site_occupancy
Th1 0.750 0.250 0.499 1
Th2 0.250 0.750 0.501 1
Tb1 0.000 0.500 0.000 1
Tb2 0.872 0.871 0.743 1
Tb3 0.128 0.129 0.257 1
Nd1 0.500 0.000 0.000 1
Nd2 0.371 0.371 0.743 1
Nd3 0.629 0.629 0.257 1
# - Polymorph energy (0 for the lowest one): 0 meV/atom

---

Below is a relaxed NaPmPb2Se4 crystal, with properties calculated at the PBE level.

Cell and atoms, written as CIF:
```
data_NaPmPb2Se4
_space_group_name_H-M_alt 'P 1'
_space_group_IT_number 1
_space_group_name_Hall 'P 1'
_cell_length_a 4.315
_cell_length_b 7.520
_cell_length_c 7.416
_cell_angle_alpha 71.34
_cell_angle_beta 90.00
_cell_angle_gamma 90.00
loop_
_atom_site_label
_atom_site_fract_x
_atom_site_fract_y
_atom_site_fract_z
_atom_site_occupancy
Se1 0.000 0.260 0.255 1
Se2 0.000 0.740 0.745 1
Se3 0.500 0.735 0.260 1
Se4 0.500 0.265 0.740 1
Pb1 0.500 0.000 0.500 1
Pb2 0.000 0.000 0.000 1
Pm1 0.000 0.500 0.500 1
Na1 0.500 0.500 0.000 1
```

---

# RuRhSe PBE optimized geometry
data_RuRhSe
_space_group_name_H-M_alt 'P 1'
_space_group_IT_number 1
_space_group_name_Hall 'P 1'
_cell_length_a 4.048
_cell_length_b 4.048
_cell_length_c 3.261
_cell_angle_alpha 90.00
_cell_angle_beta 90.00
_cell_angle_gamma 120.00
loop_
_atom_site_label
_atom_site_fract_x
_atom_site_fract_y
_atom_site_fract_z
_atom_site_occupancy
Rh1 0.000 0.000 0.946 1
Se1 0.333 0.667 0.626 1
Ru1 0.667 0.333 0.427 1
# - Polymorph energy (0 for the lowest one): 96 meV/atom

---

Below is a relaxed NpAl2GaPt4 crystal, with properties calculated at the PBE level.

Cell and atoms, written as CIF:
```
data_NpAl2GaPt4
_space_group_name_H-M_alt 'P 1'
_space_group_IT_number 1
_space_group_name_Hall 'P 1'
_cell_length_a 4.294
_cell_length_b 4.294
_cell_length_c 8.984
_cell_angle_alpha 76.17
_cell_angle_beta 76.17
_cell_angle_gamma 60.00
loop_
_atom_site_label
_atom_site_fract_x
_atom_site_fract_y
_atom_site_fract_z
_atom_site_occupancy
Pt1 0.600 0.600 0.200 1
Pt2 0.134 0.134 0.599 1
Pt3 0.866 0.866 0.401 1
Pt4 0.400 0.400 0.800 1
Al1 0.757 0.757 0.728 1
Al2 0.243 0.243 0.272 1
Np1 0.000 0.000 0.000 1
Ga1 0.500 0.500 0.500 1
```

---

Below is a relaxed CaSm2Pu3Te6 crystal, with properties calculated at the PBE level.

Cell and atoms, written as CIF:
```
data_CaSm2Pu3Te6
_space_group_name_H-M_alt 'P 1'
_space_group_IT_number 1
_space_group_name_Hall 'P 1'
_cell_length_a 4.436
_cell_length_b 8.930
_cell_length_c 9.963
_cell_angle_alpha 103.08
_cell_angle_beta 102.86
_cell_angle_gamma 90.00
loop_
_atom_site_label
_atom_site_fract_x
_atom_site_fract_y
_atom_site_fract_z
_atom_site_occupancy
Te1 0.334 0.414 0.669 1
Te2 0.667 0.084 0.333 1
Te3 0.000 0.750 0.999 1
Te4 0.333 0.916 0.667 1
Te5 0.000 0.250 0.001 1
Te6 0.666 0.586 0.331 1
Sm1 0.168 0.338 0.337 1
Sm2 0.832 0.662 0.663 1
Ca1 0.500 0.000 0.000 1
Pu1 0.500 0.500 0.000 1
Pu2 0.167 0.834 0.334 1
Pu3 0.833 0.166 0.666 1
```

---

# BaReOs PBE optimized geometry
data_BaReOs
_space_group_name_H-M_alt 'P 1'
_space_group_IT_number 1
_space_group_name_Hall 'P 1'
_cell_length_a 6.962
_cell_length_b 6.962
_cell_length_c 3.212
_cell_angle_alpha 76.67
_cell_angle_beta 76.66
_cell_angle_gamma 26.67
loop_
_atom_site_label
_atom_site_fract_x
_atom_site_fract_y
_atom_site_fract_z
_atom_site_occupancy
Ba1 0.000 0.000 0.000 1
Re1 0.707 0.707 0.293 1
Os1 0.293 0.293 0.707 1
# - Polymorph energy (0 for the lowest one): 165 meV/atom

---

| no. | spin magnetization (μB/atom) | E_tot (eV per atom) | calculated volume (Å³ per atom) |
| --- | --- | --- | --- |
| 1 | 0.000 | -10.494 | 17.66 |
| 2 | 0.000 | -5.299 | 29.90 |
| 3 | 0.240 | -9.917 | 14.44 |
| 4 | 0.019 | -9.088 | 15.35 |
| 5 | 0.000 | -5.369 | 27.41 |
| 6 | 0.000 | -3.426 | 20.90 |
| 7 | 2.283 | -5.204 | 42.05 |
| 8 | 0.230 | -6.326 | 16.22 |
| 9 | 0.000 | -2.327 | 15.97 |
| 10 | 0.442 | -3.501 | 17.27 |
| 11 | 0.000 | -3.373 | 14.13 |
| 12 | 0.000 | -6.356 | 7.71 |
| 13 | 0.000 | -7.541 | 26.53 |
| 14 | 0.000 | -7.323 | 20.06 |
| 15 | 0.000 | -5.346 | 33.36 |
| 16 | 0.000 | -4.518 | 28.50 |
| 17 | 0.000 | -6.567 | 15.42 |
| 18 | 0.457 | -6.702 | 17.24 |
| 19 | 1.481 | -7.387 | 31.19 |
| 20 | 0.000 | -7.833 | 22.63 |